Below is an optimized crystal structure of BaLiPaSe4, with properties calculated at the PBE level.

CIF file:
```
data_BaLiPaSe4
_symmetry_space_group_name_H-M 'P 1'
_symmetry_Int_Tables_number 1
_symmetry_space_group_name_Hall 'P 1'
_cell_length_a 9.8644
_cell_length_b 8.1998
_cell_length_c 9.1090
_cell_angle_alpha 123.74
_cell_angle_beta 90.00
_cell_angle_gamma 126.98
loop_
_atom_site_label
_atom_site_fract_x
_atom_site_fract_y
_atom_site_fract_z
Se1 0.7110 0.0734 0.7867
Se2 0.2215 0.4430 0.2881
Se3 0.3624 0.0734 0.7867
Se4 0.6376 0.9266 0.2133
Se5 0.7785 0.5570 0.3451
Se6 0.2215 0.4430 0.6549
Se7 0.7785 0.5570 0.7119
Se8 0.2890 0.9266 0.2133
Ba1 0.9064 0.8128 0.1564
Ba2 0.0936 0.1872 0.8436
Pa1 0.5000 0.0000 0.5000
Pa2 0.5000 0.0000 0.0000
Li1 0.5000 0.5000 0.5000
Li2 0.0000 0.5000 0.5000
```

Computed properties:
Raw total energy: -75.52 eV/cell
Space group: Imma, No. 74
Volume: 423 Å³ per cell
ΔE_f (raw): -1.498 eV/atom